This record from the Alexandria database describes a relaxed structure of Ac6SbTe2Se3. The functional is PBE.

Cell lengths 4.5932, 9.2688, 10.3225 Å; angles 103.19, 102.85, 90.00 degrees
With the nearest neighbours (Å) after each atom.
Positions (direct):
1 Te 0.8320 0.6651 0.6640  6 Ac 3.36-3.38
2 Te 0.1680 0.3349 0.3360  6 Ac 3.36-3.38
3 Ac 0.3396 0.4033 0.6792  3 Se 3.14-3.15, 3 Te 3.36-3.37
4 Ac 0.6692 0.0679 0.3383  3 Se 3.16-3.21, 1 Sb 3.31, 2 Te 3.38
5 Ac 0.9954 0.2566 0.9908  3 Se 3.18-3.21, 2 Sb 3.32, 1 Te 3.38
6 Ac 0.6604 0.5967 0.3208  3 Se 3.14-3.15, 3 Te 3.36-3.37
7 Ac 0.0046 0.7434 0.0092  3 Se 3.18-3.21, 2 Sb 3.32, 1 Te 3.38
8 Ac 0.3308 0.9321 0.6617  3 Se 3.16-3.21, 1 Sb 3.31, 2 Te 3.38
9 Se 0.5000 0.5000 0.0000  6 Ac 3.14-3.21
10 Se 0.1671 0.8324 0.3341  6 Ac 3.15-3.21
11 Se 0.8329 0.1676 0.6659  6 Ac 3.15-3.21
12 Sb 0.5000 0.0000 0.0000  6 Ac 3.31-3.32

Energy relative to the elements, uncorrected, eV per atom: -1.645
V, A^3/atom: 34.712
Theoretical density, g/cm³: 7.877

---

This record from the Alexandria database describes a relaxed structure of Ac8SbTe3Se4. The functional is PBE.

Cell lengths 9.1893, 9.2550, 9.1904 Å; angles 119.77, 120.00, 90.00 degrees
With the nearest neighbours (Å) after each atom.
Positions (direct):
1 Se 0.0000 0.0000 0.0000  6 Ac 3.15
2 Se 0.0000 0.0000 0.5000  6 Ac 3.15
3 Se 0.5000 0.0000 0.0000  6 Ac 3.20
4 Se 0.5000 0.0000 0.5000  6 Ac 3.15
5 Ac 0.2377 0.2278 0.9828  3 Se 3.15-3.20, 1 Sb 3.33, 2 Te 3.38
6 Ac 0.7623 0.7722 0.0172  3 Se 3.15-3.20, 1 Sb 3.33, 2 Te 3.38
7 Ac 0.7587 0.7760 0.5174  3 Se 3.15, 3 Te 3.38
8 Ac 0.2413 0.2240 0.4826  3 Se 3.15, 3 Te 3.38
9 Ac 0.2549 0.7722 0.0172  3 Se 3.15-3.20, 1 Sb 3.33, 2 Te 3.38
10 Ac 0.7451 0.2279 0.4903  3 Se 3.15-3.20, 1 Sb 3.33, 2 Te 3.38
11 Ac 0.7451 0.2278 0.9828  3 Se 3.15-3.20, 1 Sb 3.33, 2 Te 3.38
12 Ac 0.2549 0.7721 0.5097  3 Se 3.15-3.20, 1 Sb 3.33, 2 Te 3.38
13 Te 0.0000 0.5000 0.5000  6 Ac 3.38
14 Te 0.5000 0.5000 0.5000  6 Ac 3.38
15 Te 0.5000 0.5000 0.0000  6 Ac 3.38
16 Sb 0.0000 0.5000 0.0000  6 Ac 3.33

Energy relative to the elements, uncorrected, eV per atom: -1.654
V, A^3/atom: 34.662
Theoretical density, g/cm³: 7.894

---

This record from the Alexandria database describes a relaxed structure of Ac6SbTe3Se2. The functional is PBE.

Cell lengths 8.0184, 8.0184, 8.1629 Å; angles 99.43, 99.43, 119.98 degrees
With the nearest neighbours (Å) after each atom.
Positions (direct):
1 Ac 0.5815 0.9225 0.7687  2 Se 3.18-3.19, 1 Sb 3.27, 3 Te 3.37-3.41
2 Ac 0.7341 0.7341 0.2284  2 Se 3.18, 1 Sb 3.26, 3 Te 3.34-3.39
3 Ac 0.0775 0.4185 0.2313  2 Se 3.18-3.19, 1 Sb 3.27, 3 Te 3.37-3.41
4 Ac 0.9225 0.5815 0.7687  2 Se 3.18-3.19, 1 Sb 3.27, 3 Te 3.37-3.41
5 Ac 0.4185 0.0775 0.2313  2 Se 3.18-3.19, 1 Sb 3.27, 3 Te 3.37-3.41
6 Ac 0.2659 0.2659 0.7716  2 Se 3.18, 1 Sb 3.26, 3 Te 3.34-3.39
7 Te 0.8370 0.1630 0.5000  6 Ac 3.37-3.41
8 Te 0.5000 0.5000 0.5000  6 Ac 3.34-3.41
9 Te 0.1630 0.8370 0.5000  6 Ac 3.37-3.41
10 Se 0.6676 0.3324 0.0000  6 Ac 3.18-3.19
11 Se 0.3324 0.6676 0.0000  6 Ac 3.18-3.19
12 Sb 0.0000 0.0000 0.0000  6 Ac 3.26-3.27

Energy relative to the elements, uncorrected, eV per atom: -1.582
V, A^3/atom: 35.793
Theoretical density, g/cm³: 7.827

---

- Among the records above, which one has the lowest energy relative to the elements, uncorrected?
  Ac8SbTe3Se4

---

- Number 3 is which compound?
  Ac6SbTe3Se2